# 1
Material: CeLuInBi
Method: DFT, PBE
State: relaxed

a = 5.4362 Å, b = 5.4362 Å, c = 5.4362 Å
α = 60.00°, β = 60.00°, γ = 60.00°
With the nearest neighbours (Å) after each atom.
Fractional positions:
Ce 0.0000 0.0000 0.0000  4 In 3.33, 4 Bi 3.33
Lu 0.5000 0.5000 0.5000  4 In 3.33, 4 Bi 3.33
In 0.7500 0.7500 0.7500  4 Ce 3.33, 4 Lu 3.33
Bi 0.2500 0.2500 0.2500  4 Ce 3.33, 4 Lu 3.33

## Properties
* energy of formation from the pure elements: -1.5 eV per formula unit
* total DFT energy (no corrections): -18.61 eV for the cell shown

=====

# 2
Material: CeMgInBi
Method: DFT, PBE
State: relaxed

a = 5.3865 Å, b = 5.3865 Å, c = 5.3865 Å
α = 60.00°, β = 60.00°, γ = 60.00°
With the nearest neighbours (Å) after each atom.
Fractional positions:
Ce 0.0000 0.0000 0.0000  4 In 3.30, 4 Bi 3.30
Mg 0.5000 0.5000 0.5000  4 Bi 3.30, 4 In 3.30
In 0.2500 0.2500 0.2500  4 Mg 3.30, 4 Ce 3.30
Bi 0.7500 0.7500 0.7500  4 Mg 3.30, 4 Ce 3.30

## Properties
* energy of formation from the pure elements: -1.1 eV per formula unit
* total DFT energy (no corrections): -15.22 eV for the cell shown

=====

# 3
Material: CeMgInBi
Method: DFT, PBE
State: relaxed

a = 4.4820 Å, b = 4.7896 Å, c = 5.0391 Å
α = 90.00°, β = 90.00°, γ = 90.00°
With the nearest neighbours (Å) after each atom.
Fractional positions:
Ce 0.0000 0.0000 0.0000  4 Bi 3.28, 4 In 3.37, 4 Mg 3.48
Mg 0.0000 0.5000 0.5000  4 In 3.28, 4 Bi 3.37, 4 Ce 3.48
In 0.5000 0.0000 0.5000  4 Mg 3.28, 4 Ce 3.37, 4 Bi 3.48
Bi 0.5000 0.5000 0.0000  4 Ce 3.28, 4 Mg 3.37, 4 In 3.48

## Properties
* energy of formation from the pure elements: -1.7 eV per formula unit
* total DFT energy (no corrections): -15.84 eV for the cell shown

=====

# 4
Material: Na2CeInBi2
Method: DFT, PBE
State: relaxed

a = 5.1738 Å, b = 9.8199 Å, c = 6.9134 Å
α = 90.00°, β = 90.00°, γ = 90.00°
With the nearest neighbours (Å) after each atom.
Fractional positions:
Na 0.0000 0.0010 0.0000  6 Na 3.44-3.46, 6 Bi 3.57-3.70, 2 In 3.78-3.82
Na 0.0000 0.9990 0.5000  6 Na 3.44-3.46, 6 Bi 3.57-3.70, 2 In 3.78-3.82
Na 0.5000 0.1496 0.2514  5 Bi 3.14-3.48, 4 Na 3.44
Na 0.5000 0.8504 0.7514  5 Bi 3.14-3.48, 4 Na 3.44
Ce 0.5000 0.4987 0.9964  4 In 3.46-3.48, 2 Ce 3.46, 6 Bi 3.52-3.61, 2 Na 3.85
Ce 0.5000 0.5013 0.4964  4 In 3.46-3.48, 2 Ce 3.46, 6 Bi 3.52-3.61, 2 Na 3.85
In 0.0000 0.3445 0.7420  3 Bi 3.05-3.18
In 0.0000 0.6555 0.2420  3 Bi 3.05-3.18
Bi 0.0000 0.3314 0.2468  2 Na 3.14, 3 In 3.18-3.49, 2 Ce 3.52
Bi 0.0000 0.6686 0.7468  2 Na 3.14, 3 In 3.18-3.49, 2 Ce 3.52
Bi 0.5000 0.1798 0.7500  2 In 3.05, 1 Na 3.23
Bi 0.5000 0.8202 0.2500  2 In 3.05, 1 Na 3.23

## Properties
* energy of formation from the pure elements: -2.2 eV per formula unit
* total DFT energy (no corrections): -42.49 eV for the cell shown

=====

# 5
Material: CeInBiPb
Method: DFT, PBE
State: relaxed

a = 4.6663 Å, b = 4.8797 Å, c = 5.0201 Å
α = 90.00°, β = 90.00°, γ = 90.00°
With the nearest neighbours (Å) after each atom.
Fractional positions:
Ce 0.0000 0.0000 0.0000  4 Bi 3.38, 4 Pb 3.43, 4 In 3.50
In 0.0000 0.5000 0.5000  4 Pb 3.38, 4 Bi 3.43, 4 Ce 3.50
Bi 0.5000 0.5000 0.0000  4 Ce 3.38, 4 In 3.43, 4 Pb 3.50
Pb 0.5000 0.0000 0.5000  4 In 3.38, 4 Ce 3.43, 4 Bi 3.50

## Properties
* energy of formation from the pure elements: -1.7 eV per formula unit
* total DFT energy (no corrections): -17.96 eV for the cell shown

=====

# 6
Material: CePuInBi
Method: DFT, PBE
State: relaxed

a = 5.4774 Å, b = 5.4774 Å, c = 5.4774 Å
α = 60.00°, β = 60.00°, γ = 60.00°
With the nearest neighbours (Å) after each atom.
Fractional positions:
Ce 0.0000 0.0000 0.0000  4 In 3.35, 4 Bi 3.35
Pu 0.5000 0.5000 0.5000  4 Bi 3.35, 4 In 3.35
In 0.2500 0.2500 0.2500  4 Pu 3.35, 4 Ce 3.35
Bi 0.7500 0.7500 0.7500  4 Pu 3.35, 4 Ce 3.35

## Properties
* energy of formation from the pure elements: -1.1 eV per formula unit
* total DFT energy (no corrections): -27.98 eV for the cell shown

=====

# 7
Material: CeInBiSb
Method: DFT, PBE
State: relaxed

a = 4.3790 Å, b = 4.9333 Å, c = 5.1042 Å
α = 90.00°, β = 90.00°, γ = 90.00°
With the nearest neighbours (Å) after each atom.
Fractional positions:
Ce 0.0000 0.0000 0.0000  4 Sb 3.30, 4 Bi 3.36, 4 In 3.55
In 0.0000 0.5000 0.5000  4 Bi 3.30, 4 Sb 3.36, 4 Ce 3.55
Bi 0.5000 0.0000 0.5000  4 In 3.30, 4 Ce 3.36, 4 Sb 3.55
Sb 0.5000 0.5000 0.0000  4 Ce 3.30, 4 In 3.36, 4 Bi 3.55

## Properties
* total DFT energy (no corrections): -18.77 eV for the cell shown
* E_form (uncorrected): -0.52 eV per atom

=====

# 8
Material: CeInSnBi
Method: DFT, PBE
State: relaxed

a = 4.5931 Å, b = 4.8536 Å, c = 4.9302 Å
α = 90.00°, β = 90.00°, γ = 90.00°
With the nearest neighbours (Å) after each atom.
Fractional positions:
Ce 0.0000 0.0000 0.0000  4 Bi 3.34, 4 Sn 3.37, 4 In 3.46
In 0.0000 0.5000 0.5000  4 Sn 3.34, 4 Bi 3.37, 4 Ce 3.46
Sn 0.5000 0.0000 0.5000  4 In 3.34, 4 Ce 3.37, 4 Bi 3.46
Bi 0.5000 0.5000 0.0000  4 Ce 3.34, 4 In 3.37, 4 Sn 3.46

## Properties
* energy of formation from the pure elements: -1.9 eV per formula unit
* total DFT energy (no corrections): -18.49 eV for the cell shown

=====

# 9
Material: Ce4InBiTe2
Method: DFT, PBE
State: relaxed

a = 7.8232 Å, b = 4.4728 Å, c = 7.9245 Å
α = 90.00°, β = 108.85°, γ = 90.00°
With the nearest neighbours (Å) after each atom.
Fractional positions:
Ce 0.2483 0.0000 0.2475  3 Te 3.19-3.21, 1 In 3.20, 2 Bi 3.22
Ce 0.2481 0.5000 0.7504  3 Te 3.19-3.20, 2 In 3.21, 1 Bi 3.22
Ce 0.7517 0.0000 0.7525  3 Te 3.19-3.21, 1 In 3.20, 2 Bi 3.22
Ce 0.7519 0.5000 0.2496  3 Te 3.19-3.20, 2 In 3.21, 1 Bi 3.22
In 0.5000 0.0000 0.0000  6 Ce 3.20-3.21
Bi 0.5000 0.5000 0.5000  6 Ce 3.22
Te 0.0000 0.0000 0.5000  6 Ce 3.20-3.21
Te 0.0000 0.5000 0.0000  6 Ce 3.19

## Properties
* total DFT energy (no corrections): -43.78 eV for the cell shown
* E_form (uncorrected): -0.89 eV per atom

=====

# 10
Material: Ce2BiIr
Method: DFT, PBE
State: relaxed

a = 7.8854 Å, b = 7.8854 Å, c = 7.8854 Å
α = 30.90°, β = 30.90°, γ = 30.90°
With the nearest neighbours (Å) after each atom.
Fractional positions:
Ce 0.0000 0.0000 0.0000  3 Ir 2.86
Ce 0.1979 0.1979 0.1979  3 Ir 2.87
Bi 0.4321 0.4321 0.4321  6 Ce 3.29
Ir 0.5994 0.5994 0.5994  6 Ce 2.86-2.87

## Properties
* energy of formation from the pure elements: -2.6 eV per formula unit
* total DFT energy (no corrections): -27.18 eV for the cell shown

=====

# 11
Material: CeBiIr
Method: DFT, PBE
State: relaxed

a = 6.6685 Å, b = 6.6685 Å, c = 5.6609 Å
α = 102.09°, β = 102.09°, γ = 38.28°
With the nearest neighbours (Å) after each atom.
Fractional positions:
Ce 0.1440 0.1440 0.3077  3 Ir 2.83-2.90
Ce 0.8560 0.8560 0.6923  3 Ir 2.83-2.90
Bi 0.4167 0.4167 0.2155  3 Ir 2.82-2.91
Bi 0.5833 0.5833 0.7845  3 Ir 2.82-2.91
Ir 0.2265 0.2265 0.8152  3 Bi 2.82-2.91, 3 Ce 2.83-2.90, 2 Ir 2.99
Ir 0.7735 0.7735 0.1848  3 Bi 2.82-2.91, 3 Ce 2.83-2.90, 2 Ir 2.99

## Properties
* energy of formation from the pure elements: -1.6 eV per formula unit
* total DFT energy (no corrections): -40.61 eV for the cell shown

=====

# 12
Material: Ce6Bi3Ir
Method: DFT, PBE
State: relaxed

a = 6.0521 Å, b = 8.8686 Å, c = 12.8395 Å
α = 90.00°, β = 118.00°, γ = 90.00°
With the nearest neighbours (Å) after each atom.
Fractional positions:
Ce 0.0228 0.1451 0.4422  1 Ir 2.92, 1 Ce 3.05, 1 Bi 3.25
Ce 0.0228 0.3549 0.9422  1 Ir 2.92, 1 Ce 3.05, 1 Bi 3.25
Ce 0.3841 0.0242 0.2723  1 Ir 2.68
Ce 0.3841 0.4758 0.7723  1 Ir 2.68
Ce 0.3860 0.6824 0.4431  1 Ir 2.91, 1 Bi 3.20
Ce 0.3860 0.8176 0.9431  1 Ir 2.91, 1 Bi 3.20
Ce 0.6140 0.1824 0.0569  1 Ir 2.91, 1 Bi 3.20
Ce 0.6140 0.3176 0.5569  1 Ir 2.91, 1 Bi 3.20
Ce 0.6159 0.5242 0.2277  1 Ir 2.68
Ce 0.6159 0.9758 0.7277  1 Ir 2.68
Ce 0.9772 0.6451 0.0578  1 Ir 2.92, 1 Ce 3.05, 1 Bi 3.25
Ce 0.9772 0.8549 0.5578  1 Ir 2.92, 1 Ce 3.05, 1 Bi 3.25
Bi 0.0000 0.0000 0.0000  6 Ce 3.17-3.25
Bi 0.0000 0.5000 0.5000  6 Ce 3.17-3.25
Bi 0.1561 0.1356 0.7554  8 Ce 3.28-3.57
Bi 0.1561 0.3644 0.2554  8 Ce 3.28-3.57
Bi 0.8439 0.6356 0.7446  8 Ce 3.28-3.57
Bi 0.8439 0.8644 0.2446  8 Ce 3.28-3.57
Ir 0.5000 0.0000 0.5000  6 Ce 2.68-2.92
Ir 0.5000 0.5000 0.0000  6 Ce 2.68-2.92

## Properties
* energy of formation from the pure elements: -5.3 eV per formula unit
* total DFT energy (no corrections): -122.90 eV for the cell shown

=====

# 13
Material: Ce6BiIr
Method: DFT, PBE
State: relaxed

a = 6.3030 Å, b = 6.3030 Å, c = 6.3462 Å
α = 101.98°, β = 101.98°, γ = 101.92°
With the nearest neighbours (Å) after each atom.
Fractional positions:
Ce 0.0885 0.6785 0.6859  1 Ce 2.75, 1 Ir 2.76
Ce 0.3179 0.3179 0.9084  1 Ce 2.74, 1 Ir 2.77
Ce 0.3215 0.9115 0.3141  1 Ce 2.75, 1 Ir 2.76
Ce 0.6785 0.0885 0.6859  1 Ce 2.75, 1 Ir 2.76
Ce 0.6821 0.6821 0.0916  1 Ce 2.74, 1 Ir 2.77
Ce 0.9115 0.3215 0.3141  1 Ce 2.75, 1 Ir 2.76
Bi 0.5000 0.5000 0.5000  12 Ce 3.36-3.55
Ir 0.0000 0.0000 0.0000  6 Ce 2.76-2.77

## Properties
* energy of formation from the pure elements: -2.2 eV per formula unit
* total DFT energy (no corrections): -50.52 eV for the cell shown

=====

# 14
Material: Ce2BiIr
Method: DFT, PBE
State: relaxed

a = 5.3079 Å, b = 4.1852 Å, c = 10.5394 Å
α = 90.00°, β = 98.17°, γ = 90.00°
With the nearest neighbours (Å) after each atom.
Fractional positions:
Ce 0.2278 0.2500 0.4410  4 Ir 2.73-2.88
Ce 0.2379 0.2500 0.8257  2 Ir 2.97, 1 Bi 3.25
Ce 0.7621 0.7500 0.1743  2 Ir 2.97, 1 Bi 3.25
Ce 0.7722 0.7500 0.5590  4 Ir 2.73-2.88
Bi 0.2634 0.2500 0.1355  1 Ir 3.17, 6 Ce 3.25-3.45
Bi 0.7366 0.7500 0.8645  1 Ir 3.17, 6 Ce 3.25-3.45
Ir 0.2880 0.7500 0.6310  6 Ce 2.73-2.97
Ir 0.7120 0.2500 0.3690  6 Ce 2.73-2.97

## Properties
* energy of formation from the pure elements: -2.6 eV per formula unit
* total DFT energy (no corrections): -54.42 eV for the cell shown

=====

# 15
Material: Ce4BiIr2
Method: DFT, PBE
State: relaxed

a = 7.0447 Å, b = 7.0447 Å, c = 13.9079 Å
α = 90.00°, β = 90.00°, γ = 144.77°
With the nearest neighbours (Å) after each atom.
Fractional positions:
Ce 0.0000 0.0000 0.0000  4 Ir 2.87
Ce 0.0000 0.0000 0.5000  4 Ir 2.87
Ce 0.2640 0.7360 0.6104  3 Ir 2.76-2.89
Ce 0.2640 0.7360 0.8896  3 Ir 2.76-2.89
Ce 0.4273 0.5727 0.2500  2 Ir 2.77
Ce 0.5727 0.4273 0.7500  2 Ir 2.77
Ce 0.7360 0.2640 0.1104  3 Ir 2.76-2.89
Ce 0.7360 0.2640 0.3896  3 Ir 2.76-2.89
Bi 0.1101 0.8899 0.2500  6 Ce 3.25-3.34
Bi 0.8899 0.1101 0.7500  6 Ce 3.25-3.34
Ir 0.3709 0.6291 0.0587  6 Ce 2.76-2.89
Ir 0.3709 0.6291 0.4413  6 Ce 2.76-2.89
Ir 0.6291 0.3709 0.5587  6 Ce 2.76-2.89
Ir 0.6291 0.3709 0.9413  6 Ce 2.76-2.89

## Properties
* energy of formation from the pure elements: -4.6 eV per formula unit
* total DFT energy (no corrections): -99.85 eV for the cell shown

=====

# 16
Material: Ce2BiIr
Method: DFT, PBE
State: relaxed

a = 7.8537 Å, b = 7.8537 Å, c = 7.8537 Å
α = 30.81°, β = 30.81°, γ = 30.81°
With the nearest neighbours (Å) after each atom.
Fractional positions:
Ce 0.2355 0.2355 0.2355  3 Ir 2.86
Ce 0.7645 0.7645 0.7645  3 Ir 2.86
Bi 0.0000 0.0000 0.0000  6 Ce 3.26
Ir 0.5000 0.5000 0.5000  6 Ce 2.86

## Properties
* energy of formation from the pure elements: -2.8 eV per formula unit
* total DFT energy (no corrections): -27.40 eV for the cell shown

=====

# 17
Material: Ce5BiIr
Method: DFT, PBE
State: relaxed

a = 6.5341 Å, b = 6.5341 Å, c = 10.9652 Å
α = 109.86°, β = 109.86°, γ = 63.76°
With the nearest neighbours (Å) after each atom.
Fractional positions:
Ce 0.0150 0.5619 0.3426  1 Ir 2.77, 2 Ce 2.83-3.04
Ce 0.0390 0.9610 0.7500  2 Ir 2.75
Ce 0.2032 0.4944 0.9321  2 Ce 2.83-3.04, 1 Ir 2.89
Ce 0.4381 0.9850 0.1574  1 Ir 2.77, 2 Ce 2.83-3.04
Ce 0.4944 0.2032 0.4321  2 Ce 2.83-3.04, 1 Ir 2.89
Ce 0.5056 0.7968 0.5679  2 Ce 2.83-3.04, 1 Ir 2.89
Ce 0.5619 0.0150 0.8426  1 Ir 2.77, 2 Ce 2.83-3.04
Ce 0.7968 0.5056 0.0679  2 Ce 2.83-3.04, 1 Ir 2.89
Ce 0.9610 0.0390 0.2500  2 Ir 2.75
Ce 0.9850 0.4381 0.6574  1 Ir 2.77, 2 Ce 2.83-3.04
Bi 0.4715 0.5285 0.2500  10 Ce 3.31-3.52
Bi 0.5285 0.4715 0.7500  10 Ce 3.31-3.52
Ir 0.0000 0.0000 0.0000  6 Ce 2.75-2.89
Ir 0.0000 0.0000 0.5000  6 Ce 2.75-2.89

## Properties
* energy of formation from the pure elements: -2.2 eV per formula unit
* total DFT energy (no corrections): -89.17 eV for the cell shown

=====

# 18
Material: CeBiIr
Method: DFT, PBE
State: relaxed

a = 8.3836 Å, b = 8.3836 Å, c = 8.3836 Å
α = 32.80°, β = 32.80°, γ = 32.80°
With the nearest neighbours (Å) after each atom.
Fractional positions:
Ce 0.2446 0.2446 0.2446  4 Ir 2.99-3.00, 3 Bi 3.30
Ce 0.7554 0.7554 0.7554  4 Ir 2.99-3.00, 3 Bi 3.30
Bi 0.0000 0.0000 0.0000  6 Ir 2.87
Bi 0.5000 0.5000 0.5000  2 Ir 3.09, 6 Ce 3.30
Ir 0.3702 0.3702 0.3702  4 Bi 2.87-3.09, 4 Ce 2.99-3.00
Ir 0.6298 0.6298 0.6298  4 Bi 2.87-3.09, 4 Ce 2.99-3.00

## Properties
* energy of formation from the pure elements: -1.6 eV per formula unit
* total DFT energy (no corrections): -40.53 eV for the cell shown

=====

# 19
Material: Ce5Bi2Ir
Method: DFT, PBE
State: relaxed

a = 8.0440 Å, b = 12.6213 Å, c = 4.6529 Å
α = 90.00°, β = 90.00°, γ = 90.00°
With the nearest neighbours (Å) after each atom.
Fractional positions:
Ce 0.0000 0.0000 0.0000  4 Bi 3.32, 4 Ce 3.39
Ce 0.1253 0.3033 0.0000  1 Ir 2.68
Ce 0.2065 0.5567 0.5000  2 Ir 2.95
Ce 0.2935 0.0567 0.5000  2 Ir 2.95
Ce 0.3747 0.8033 0.0000  1 Ir 2.68
Ce 0.5000 0.5000 0.0000  4 Bi 3.32, 4 Ce 3.39
Ce 0.6253 0.1967 0.0000  1 Ir 2.68
Ce 0.7065 0.9433 0.5000  2 Ir 2.95
Ce 0.7935 0.4433 0.5000  2 Ir 2.95
Ce 0.8747 0.6967 0.0000  1 Ir 2.68
Bi 0.0875 0.8213 0.5000  9 Ce 3.29-3.47
Bi 0.4125 0.3213 0.5000  9 Ce 3.29-3.47
Bi 0.5875 0.6787 0.5000  9 Ce 3.29-3.47
Bi 0.9125 0.1787 0.5000  9 Ce 3.29-3.47
Ir 0.0000 0.5000 0.0000  6 Ce 2.68-2.95
Ir 0.5000 0.0000 0.0000  6 Ce 2.68-2.95

## Properties
* energy of formation from the pure elements: -5.0 eV per formula unit
* total DFT energy (no corrections): -102.55 eV for the cell shown

=====

# 20
Material: Ce3Bi2Ir
Method: DFT, PBE
State: relaxed

a = 7.5442 Å, b = 7.5442 Å, c = 7.7938 Å
α = 99.45°, β = 99.45°, γ = 119.70°
With the nearest neighbours (Å) after each atom.
Fractional positions:
Ce 0.0625 0.4281 0.7787  2 Ir 2.89-2.93, 2 Bi 3.19-3.20
Ce 0.2054 0.2054 0.2098  2 Ir 2.87, 2 Bi 3.14-3.17
Ce 0.4281 0.0625 0.7787  2 Ir 2.89-2.93, 2 Bi 3.19-3.20
Ce 0.5719 0.9375 0.2213  2 Ir 2.89-2.93, 2 Bi 3.19-3.20
Ce 0.7946 0.7946 0.7902  2 Ir 2.87, 2 Bi 3.14-3.17
Ce 0.9375 0.5719 0.2213  2 Ir 2.89-2.93, 2 Bi 3.19-3.20
Bi 0.0000 0.0000 0.5000  6 Ce 3.14-3.35
Bi 0.3476 0.6524 0.5000  6 Ce 3.19-3.37
Bi 0.5000 0.5000 0.0000  6 Ce 3.17-3.20
Bi 0.6524 0.3476 0.5000  6 Ce 3.19-3.37
Ir 0.1676 0.8324 0.0000  6 Ce 2.87-2.93
Ir 0.8324 0.1676 0.0000  6 Ce 2.87-2.93

## Properties
* energy of formation from the pure elements: -4.1 eV per formula unit
* total DFT energy (no corrections): -77.09 eV for the cell shown